The following is a DFT calculation (PBE+U) of crystalline ScVNO2 at its relaxed geometry.

DFT total energy	-7.914	eV per atom

a = 3.792 Å, b = 3.792 Å, c = 3.834 Å
α = 90.00°, β = 90.00°, γ = 90.00°
Space group P4/mmm (No. 123)
One atom of each set of equivalent atoms:
Sc (0.000, 0.000, 0.000) x1
V (0.500, 0.500, 0.500) x1
N (0.500, 0.500, 0.000) x1
O (0.000, 0.500, 0.500) x2